SrHfCo PBE relaxed; excess energy over the best structure of this formula in the dataset = 1.155 eV/atom; symmetry = F-43m, No. 216
1.0
0.0000 3.2822 3.2822
3.2822 0.0000 3.2822
3.2822 3.2822 0.0000
Sr Hf Co
1 1 1
Direct
0.0000 0.0000 0.0000
0.2500 0.2500 0.2500
0.7500 0.7500 0.7500

=====

BaGd2Si3O10 PBE relaxed; symmetry = P2_1/m, No. 11; total DFT energy (no corrections) = -0.2927 hartree per atom
1.0
5.4144 0.0000 0.0000
0.0000 12.1704 0.0000
-1.9540 0.0000 6.6365
Ba Gd Si O
2 4 6 20
Direct
0.2401 0.2500 0.4791
0.7599 0.7500 0.5209
0.1607 0.5976 0.1875
0.1607 0.9024 0.1875
0.8393 0.0976 0.8125
0.8393 0.4024 0.8125
0.3037 0.5635 0.7144
0.3037 0.9365 0.7144
0.4119 0.2500 0.0086
0.5881 0.7500 0.9914
0.6963 0.0635 0.2856
0.6963 0.4365 0.2856
0.0980 0.5554 0.8493
0.0980 0.9446 0.8493
0.1184 0.2500 0.8617
0.1691 0.6274 0.5062
0.1691 0.8726 0.5062
0.3774 0.7500 0.1174
0.4230 0.0553 0.6872
0.4230 0.4447 0.6872
0.4442 0.1412 0.1576
0.4442 0.3588 0.1576
0.5558 0.6412 0.8424
0.5558 0.8588 0.8424
0.5770 0.5553 0.3128
0.5770 0.9447 0.3128
0.6226 0.2500 0.8826
0.8309 0.1274 0.4938
0.8309 0.3726 0.4938
0.8816 0.7500 0.1383
0.9020 0.0554 0.1507
0.9020 0.4446 0.1507

=====

Cs2MoSe4 PBE relaxed; excess energy over the best structure of this formula in the dataset = 0.000 eV/atom; symmetry = Pnma, No. 62
1.0
10.6883 0.0000 0.0000
0.0000 7.5386 0.0000
0.0000 0.0000 13.4481
Cs Mo Se
8 4 16
Direct
0.0431 0.2500 0.1634
0.1579 0.7500 0.3874
0.3421 0.2500 0.8874
0.4569 0.7500 0.6634
0.5431 0.2500 0.3366
0.6579 0.7500 0.1126
0.8421 0.2500 0.6126
0.9569 0.7500 0.8366
0.2487 0.7500 0.0715
0.2513 0.2500 0.5715
0.7487 0.7500 0.4285
0.7513 0.2500 0.9285
0.0341 0.7500 0.1075
0.1579 0.5011 0.6400
0.1579 0.9989 0.6400
0.2192 0.2500 0.4000
0.2808 0.7500 0.9000
0.3421 0.0011 0.1400
0.3421 0.4989 0.1400
0.4659 0.2500 0.6075
0.5341 0.7500 0.3925
0.6579 0.5011 0.8600
0.6579 0.9989 0.8600
0.7192 0.2500 0.1000
0.7808 0.7500 0.6000
0.8421 0.0011 0.3600
0.8421 0.4989 0.3600
0.9659 0.2500 0.8925

=====

NaAlNiSe3 PBE relaxed; excess energy over the best structure of this formula in the dataset = 0.074 eV/atom; symmetry = Cmcm, No. 63
1.0
1.8223 -6.8033 0.0000
1.8223 6.8033 0.0000
0.0000 0.0000 10.0074
Na Al Ni Se
2 2 2 6
Direct
0.2394 0.7606 0.7500
0.7606 0.2394 0.2500
0.0000 0.0000 0.0000
0.0000 0.0000 0.5000
0.4750 0.5250 0.2500
0.5250 0.4750 0.7500
0.0815 0.9185 0.2500
0.3751 0.6249 0.0546
0.3751 0.6249 0.4454
0.6249 0.3751 0.5546
0.6249 0.3751 0.9454
0.9185 0.0815 0.7500

=====

Nd12CdCo6 PBE relaxed; energy relative to the elements = -0.12 eV per atom; symmetry = Im-3, No. 204
1.0
-5.0021 5.0021 5.0021
5.0021 -5.0021 5.0021
5.0021 5.0021 -5.0021
Nd Cd Co
12 1 6
Direct
0.1126 0.3062 0.8064
0.1936 0.4999 0.3062
0.1936 0.8874 0.6938
0.3062 0.1936 0.4999
0.3062 0.8064 0.1126
0.4999 0.3062 0.1936
0.5001 0.6938 0.8064
0.6938 0.1936 0.8874
0.6938 0.8064 0.5001
0.8064 0.1126 0.3062
0.8064 0.5001 0.6938
0.8874 0.6938 0.1936
0.0000 0.0000 0.0000
0.1111 0.5000 0.6111
0.3889 0.8889 0.5000
0.5000 0.3889 0.8889
0.5000 0.6111 0.1111
0.6111 0.1111 0.5000
0.8889 0.5000 0.3889

=====

CsLa2Au2 PBE relaxed; symmetry = Cmcm, No. 63; total DFT energy (no corrections) = -0.1293 hartree per atom
1.0
2.5957 -4.9332 0.0000
2.5957 4.9332 0.0000
0.0000 0.0000 11.8692
Cs La Au
2 4 4
Direct
0.0865 0.9135 0.7500
0.9135 0.0865 0.2500
0.2457 0.7543 0.1040
0.2457 0.7543 0.3960
0.7543 0.2457 0.6040
0.7543 0.2457 0.8960
0.4189 0.5811 0.6023
0.4189 0.5811 0.8977
0.5811 0.4189 0.1023
0.5811 0.4189 0.3977

=====

RbDyNiS3 PBE relaxed; excess energy over the best structure of this formula in the dataset = 0.045 eV/atom; symmetry = Pnma, No. 62
1.0
10.9770 0.0000 0.0000
0.0000 4.1297 0.0000
0.0000 0.0000 12.0202
Rb Dy Ni S
4 4 4 12
Direct
0.1618 0.2500 0.0075
0.3382 0.7500 0.5075
0.6618 0.2500 0.4925
0.8382 0.7500 0.9925
0.0087 0.2500 0.6592
0.4913 0.7500 0.1592
0.5087 0.2500 0.8408
0.9913 0.7500 0.3408
0.2404 0.2500 0.2929
0.2596 0.7500 0.7929
0.7404 0.2500 0.2071
0.7596 0.7500 0.7071
0.0564 0.7500 0.8030
0.1146 0.2500 0.4475
0.2228 0.7500 0.2291
0.2772 0.2500 0.7291
0.3854 0.7500 0.9475
0.4436 0.2500 0.3030
0.5564 0.7500 0.6970
0.6146 0.2500 0.0525
0.7228 0.7500 0.2709
0.7772 0.2500 0.7709
0.8854 0.7500 0.5525
0.9436 0.2500 0.1970

=====

Cu7Ag3 PBE relaxed; excess energy over the best structure of this formula in the dataset = 0.037 eV/atom; energy relative to the elements = 0.08 eV per atom; symmetry = Pm, No. 6
1.0
6.6069 0.0000 0.0000
0.0000 2.7332 0.0000
-1.8944 0.0000 7.6208
Cu Ag
7 3
Direct
0.0000 0.0000 0.0000
0.0889 0.5000 0.2880
0.2813 0.5000 0.9113
0.3716 0.0000 0.1996
0.4671 0.5000 0.4907
0.5732 0.0000 0.7772
0.8722 0.5000 0.7227
0.1770 0.0000 0.6073
0.6808 0.5000 0.0790
0.7752 0.0000 0.4068

=====

Lu2ZnPb PBE relaxed; symmetry = F-43m, No. 216; total DFT energy (no corrections) = -0.1239 hartree per atom
1.0
0.0000 3.7271 3.7271
3.7271 0.0000 3.7271
3.7271 3.7271 0.0000
Lu Zn Pb
2 1 1
Direct
0.0000 0.0000 0.0000
0.2500 0.2500 0.2500
0.7500 0.7500 0.7500
0.5000 0.5000 0.5000

=====

Er2NbCoSi2 PBE relaxed; symmetry = P-4m2, No. 115; total DFT energy (no corrections) = -0.2491 hartree per atom
1.0
3.9157 0.0000 0.0000
0.0000 3.9157 0.0000
0.0000 0.0000 7.2947
Er Nb Co Si
2 1 1 2
Direct
0.0000 0.5000 0.1545
0.5000 0.0000 0.8455
0.0000 0.0000 0.5000
0.5000 0.5000 0.5000
0.0000 0.5000 0.7288
0.5000 0.0000 0.2712

=====

AcOs PBE relaxed; energy relative to the elements = 0.88 eV per atom; symmetry = Fm-3m, No. 225
1.0
0.0000 2.9941 2.9941
2.9941 0.0000 2.9941
2.9941 2.9941 0.0000
Ac Os
1 1
Direct
0.0000 0.0000 0.0000
0.5000 0.5000 0.5000

=====

YHo2Mg3AgHg2 PBE relaxed; symmetry = Amm2, No. 38; total DFT energy (no corrections) = -0.1105 hartree per atom
1.0
4.1310 0.0000 0.0000
0.0000 6.7438 3.8899
0.0000 -6.7438 3.8899
Y Ho Mg Ag Hg
1 2 3 1 2
Direct
0.0000 0.0000 0.0000
0.0000 0.4097 0.8193
0.0000 0.8193 0.4097
0.5000 0.1636 0.4097
0.5000 0.4097 0.1636
0.5000 0.6557 0.6557
0.0000 0.4099 0.4099
0.5000 0.0764 0.7427
0.5000 0.7427 0.0764

=====

SrCdIn PBE relaxed; symmetry = F-43m, No. 216; total DFT energy (no corrections) = -0.0608 hartree per atom
1.0
0.0000 3.8025 3.8025
3.8025 0.0000 3.8025
3.8025 3.8025 0.0000
Sr Cd In
1 1 1
Direct
0.0000 0.0000 0.0000
0.7500 0.7500 0.7500
0.2500 0.2500 0.2500

=====

PrGdAu PBE relaxed; excess energy over the best structure of this formula in the dataset = 0.650 eV/atom; energy relative to the elements = 0.07 eV per atom; symmetry = F-43m, No. 216
1.0
0.0000 3.5026 3.5026
3.5026 0.0000 3.5026
3.5026 3.5026 0.0000
Pr Gd Au
1 1 1
Direct
0.0000 0.0000 0.0000
0.7500 0.7500 0.7500
0.5000 0.5000 0.5000

=====

Cs3FeSe3 PBE relaxed; symmetry = Cmce, No. 64; total DFT energy (no corrections) = -0.1449 hartree per atom
1.0
10.0193 -3.8534 0.0000
10.0193 3.8534 0.0000
0.0000 0.0000 14.0182
Cs Fe Se
12 4 12
Direct
0.0224 0.3291 0.8769
0.1255 0.8745 0.8104
0.1709 0.4776 0.6231
0.3291 0.0224 0.1231
0.3745 0.6255 0.3104
0.4776 0.1709 0.3769
0.5224 0.8291 0.6231
0.6255 0.3745 0.6896
0.6709 0.9776 0.8769
0.8291 0.5224 0.3769
0.8745 0.1255 0.1896
0.9776 0.6709 0.1231
0.0735 0.0735 0.5000
0.4265 0.4265 0.0000
0.5735 0.5735 0.0000
0.9265 0.9265 0.5000
0.0150 0.2687 0.6207
0.2227 0.7773 0.5583
0.2313 0.4850 0.8793
0.2687 0.0150 0.3793
0.2773 0.7227 0.0583
0.4850 0.2313 0.1207
0.5150 0.7687 0.8793
0.7227 0.2773 0.9417
0.7313 0.9850 0.6207
0.7687 0.5150 0.1207
0.7773 0.2227 0.4417
0.9850 0.7313 0.3793

=====

MgCo6AsP3 PBE relaxed; excess energy over the best structure of this formula in the dataset = 0.000 eV/atom; symmetry = Amm2, No. 38
1.0
3.3739 0.0000 0.0000
0.0000 3.3269 5.7011
0.0000 -3.3269 5.7011
Mg Co As P
1 6 1 3
Direct
0.0000 0.0000 0.0000
0.0000 0.5104 0.9272
0.0000 0.5280 0.5280
0.0000 0.9272 0.5104
0.5000 0.1893 0.1893
0.5000 0.2016 0.5868
0.5000 0.5868 0.2016
0.5000 0.8065 0.8065
0.0000 0.3251 0.3251
0.5000 0.3656 0.8046
0.5000 0.8046 0.3656

=====

NbZn2Pb PBE relaxed; symmetry = F-43m, No. 216; total DFT energy (no corrections) = -0.1296 hartree per atom
1.0
0.0000 3.3992 3.3992
3.3992 0.0000 3.3992
3.3992 3.3992 0.0000
Nb Zn Pb
1 2 1
Direct
0.0000 0.0000 0.0000
0.2500 0.2500 0.2500
0.5000 0.5000 0.5000
0.7500 0.7500 0.7500

=====

Nb2TeSe3 PBE relaxed; excess energy over the best structure of this formula in the dataset = 0.000 eV/atom; symmetry = Pm, No. 6
1.0
6.1035 0.0000 0.0000
0.0000 3.5211 0.0000
-3.0246 0.0000 11.7415
Nb Te Se
2 1 3
Direct
0.0000 0.0000 0.0000
0.4862 0.5000 0.0000
0.7436 0.5000 0.8357
0.2566 0.0000 0.8569
0.3982 0.0000 0.1426
0.8936 0.5000 0.1360

=====

AcCuTe PBE relaxed; excess energy over the best structure of this formula in the dataset = 0.000 eV/atom; symmetry = F-43m, No. 216
1.0
0.0000 3.5127 3.5127
3.5127 0.0000 3.5127
3.5127 3.5127 0.0000
Ac Cu Te
1 1 1
Direct
0.0000 0.0000 0.0000
0.2500 0.2500 0.2500
0.5000 0.5000 0.5000

=====

Respective mass density values: 7632 5286 4154 4625 7287 8791 4911 9272 9983 8055 12906 7667 4754 9566 4243 7081 9109 3621 8010 kg/m³.